[1]
First-principles (PBE-GGA) data for InCo4Rh after structural relaxation, as listed in the Alexandria database.

Computed properties:
- SG = F-43m (216)
- calculated formation energy (eV/atom) = 0.076
- uncorrected energy (eV/atom) = -6.343

abc: 4.8089 4.8089 4.8089
angles: 60.00 60.00 60.00
Each line ends with the local moment (μB).
Fractional coordinates of all 6 atoms:
1 Co 0.3749 0.3749 0.8752  1.69
2 In 0.7500 0.7500 0.7500  -0.06
3 Co 0.3749 0.8752 0.3749  1.69
4 Co 0.3749 0.3749 0.3749  1.69
5 Rh 0.0000 0.0000 0.0000  0.69
6 Co 0.8752 0.3749 0.3749  1.69


[2]
First-principles (PBE-GGA) data for In3CoRh after structural relaxation, as listed in the Alexandria database.

Computed properties:
- SG = Pm-3m (221)
- calculated formation energy (eV/atom) = 0.452
- uncorrected energy (eV/atom) = -4.082
- relative energy among the computed polymorphs (meV/atom) = 0

abc: 4.7922 4.7922 4.7922
angles: 90.00 90.00 90.00
Fractional coordinates of all 5 atoms:
1 In 0.5000 0.0000 0.0000
2 Co 0.0000 0.0000 0.0000
3 Rh 0.5000 0.5000 0.5000
4 In 0.0000 0.0000 0.5000
5 In 0.0000 0.5000 0.0000


[3]
First-principles (PBE-GGA) data for In2CoRh2 after structural relaxation, as listed in the Alexandria database.

Computed properties:
- SG = P4/mbm (127)
- calculated formation energy (eV/atom) = -0.073
- uncorrected energy (eV/atom) = -5.530

abc: 6.5384 6.5384 4.0444
angles: 90.00 90.00 90.00
Each line ends with the local moment (μB).
Fractional coordinates of all 10 atoms:
1 Rh 0.1429 0.3571 0.0000  0.17
2 Rh 0.6429 0.1429 0.0000  0.21
3 In 0.8338 0.3338 0.5000  -0.01
4 Co 0.0000 0.0000 0.0000  1.93
5 In 0.3338 0.1662 0.5000  -0.01
6 In 0.6662 0.8338 0.5000  -0.01
7 Co 0.5000 0.5000 0.0000  1.94
8 In 0.1662 0.6662 0.5000  -0.01
9 Rh 0.3571 0.8571 0.0000  0.21
10 Rh 0.8571 0.6429 0.0000  0.17


[4]
First-principles (PBE-GGA) data for InCoRh2 after structural relaxation, as listed in the Alexandria database.

Computed properties:
- SG = I-42d (122)
- calculated formation energy (eV/atom) = 0.374
- uncorrected energy (eV/atom) = -5.762

abc: 3.8718 3.8718 9.2807
angles: 77.96 77.96 90.00
Each line ends with the local moment (μB).
Fractional coordinates of all 8 atoms:
1 In 0.0000 0.0000 0.0000  -0.04
2 Rh 0.1605 0.6250 0.2500  0.36
3 Co 0.2500 0.7500 0.5000  1.61
4 Rh 0.5895 0.1250 0.2500  0.36
5 Co 0.5000 0.5000 0.0000  1.61
6 Rh 0.3750 0.4105 0.7500  0.36
7 In 0.7500 0.2500 0.5000  -0.04
8 Rh 0.8750 0.8395 0.7500  0.36


[5]
First-principles (PBE-GGA) data for Sc4InCoRh2 after structural relaxation, as listed in the Alexandria database.

Computed properties:
- SG = R-3m (166)
- calculated formation energy (eV/atom) = -0.649
- uncorrected energy (eV/atom) = -6.883

abc: 4.6374 4.6374 8.1283
angles: 73.43 73.43 60.00
Fractional coordinates of all 8 atoms:
1 Sc 0.8685 0.8685 0.3946
2 Sc 0.6145 0.6145 0.1566
3 Rh 0.2493 0.2493 0.2520
4 Sc 0.1315 0.1315 0.6054
5 Co 0.5000 0.5000 0.5000
6 In 0.0000 0.0000 0.0000
7 Rh 0.7507 0.7507 0.7480
8 Sc 0.3855 0.3855 0.8434


[6]
First-principles (PBE-GGA) data for Sc5In2Co2Rh after structural relaxation, as listed in the Alexandria database.

Computed properties:
- SG = P4/mbm (127)
- calculated formation energy (eV/atom) = -0.479
- uncorrected energy (eV/atom) = -6.349

abc: 3.2469 10.8142 10.8142
angles: 90.00 90.00 90.00
Fractional coordinates of all 20 atoms:
1 Rh 0.0000 0.0000 0.0000
2 Rh 0.0000 0.5000 0.5000
3 Sc 0.5000 0.2007 0.0694
4 Sc 0.5000 0.5000 0.0000
5 Sc 0.5000 0.5694 0.7007
6 Sc 0.5000 0.7007 0.4306
7 Sc 0.5000 0.2993 0.5694
8 Co 0.0000 0.6330 0.8670
9 In 0.0000 0.1744 0.3256
10 Co 0.0000 0.1330 0.6330
11 Sc 0.5000 0.9306 0.2007
12 Sc 0.5000 0.4306 0.2993
13 Sc 0.5000 0.0694 0.7993
14 In 0.0000 0.6744 0.1744
15 Co 0.0000 0.8670 0.3670
16 Sc 0.5000 0.0000 0.5000
17 In 0.0000 0.8256 0.6744
18 In 0.0000 0.3256 0.8256
19 Co 0.0000 0.3670 0.1330
20 Sc 0.5000 0.7993 0.9306


[7]
First-principles (PBE-GGA) data for Sc5In2CoRh2 after structural relaxation, as listed in the Alexandria database.

Computed properties:
- SG = P4/mbm (127)
- calculated formation energy (eV/atom) = -0.551
- uncorrected energy (eV/atom) = -6.445

abc: 3.2657 10.9941 10.9941
angles: 90.00 90.00 90.00
Each line ends with the local moment (μB).
Fractional coordinates of all 20 atoms:
1 Sc 0.5000 0.4347 0.3101  -0.03
2 Sc 0.5000 0.8101 0.9347  -0.03
3 Sc 0.5000 0.6899 0.4347  -0.03
4 Rh 0.0000 0.1353 0.6353  0.00
5 Rh 0.0000 0.3647 0.1353  0.00
6 In 0.0000 0.3259 0.8259  0.00
7 Sc 0.5000 0.3101 0.5653  -0.03
8 Sc 0.5000 0.0000 0.5000  0.00
9 Co 0.0000 0.5000 0.5000  0.27
10 Sc 0.5000 0.0653 0.8101  -0.03
11 Sc 0.5000 0.5653 0.6899  -0.03
12 Co 0.0000 0.0000 0.0000  0.27
13 Rh 0.0000 0.8647 0.3647  0.00
14 In 0.0000 0.6741 0.1741  0.00
15 Sc 0.5000 0.9347 0.1899  -0.03
16 In 0.0000 0.8259 0.6741  0.00
17 Sc 0.5000 0.5000 0.0000  0.00
18 Rh 0.0000 0.6353 0.8647  0.00
19 Sc 0.5000 0.1899 0.0653  -0.03
20 In 0.0000 0.1741 0.3259  0.00


[8]
First-principles (PBE-GGA) data for ScInCoRh after structural relaxation, as listed in the Alexandria database.

Computed properties:
- SG = F-43m (216)
- calculated formation energy (eV/atom) = -0.522
- uncorrected energy (eV/atom) = -6.404

abc: 4.4822 4.4822 4.4822
angles: 60.00 60.00 60.00
Fractional coordinates of all 4 atoms:
1 Co 0.7500 0.7500 0.7500
2 Rh 0.2500 0.2500 0.2500
3 Sc 0.0000 0.0000 0.0000
4 In 0.5000 0.5000 0.5000


[9]
First-principles (PBE-GGA) data for InCoSnRh after structural relaxation, as listed in the Alexandria database.

Computed properties:
- SG = F-43m (216)
- calculated formation energy (eV/atom) = -0.120
- uncorrected energy (eV/atom) = -5.419

abc: 4.5366 4.5366 4.5366
angles: 60.00 60.00 60.00
Each line ends with the local moment (μB).
Fractional coordinates of all 4 atoms:
1 Rh 0.5000 0.5000 0.5000  0.24
2 Sn 0.7500 0.7500 0.7500  0.00
3 In 0.2500 0.2500 0.2500  -0.01
4 Co 0.0000 0.0000 0.0000  0.97


[10]
First-principles (PBE-GGA) data for TaInCoRh after structural relaxation, as listed in the Alexandria database.

Computed properties:
- SG = F-43m (216)
- calculated formation energy (eV/atom) = -0.232
- uncorrected energy (eV/atom) = -7.494

abc: 4.4634 4.4634 4.4634
angles: 60.00 60.00 60.00
Each line ends with the local moment (μB).
Fractional coordinates of all 4 atoms:
1 Rh 0.0000 0.0000 0.0000  0.33
2 In 0.7500 0.7500 0.7500  0.02
3 Ta 0.2500 0.2500 0.2500  0.09
4 Co 0.5000 0.5000 0.5000  1.34


[11]
First-principles (PBE-GGA) data for TiInCoRh after structural relaxation, as listed in the Alexandria database.

Computed properties:
- SG = F-43m (216)
- calculated formation energy (eV/atom) = -0.431
- uncorrected energy (eV/atom) = -6.703

abc: 4.4033 4.4033 4.4033
angles: 60.00 60.00 60.00
Each line ends with the local moment (μB).
Fractional coordinates of all 4 atoms:
1 Ti 0.7500 0.7500 0.7500  -0.10
2 Rh 0.5000 0.5000 0.5000  0.21
3 In 0.2500 0.2500 0.2500  -0.01
4 Co 0.0000 0.0000 0.0000  0.96


[12]
First-principles (PBE-GGA) data for TlInCoRh2 after structural relaxation, as listed in the Alexandria database.

Computed properties:
- SG = P4/mmm (123)
- calculated formation energy (eV/atom) = 0.631
- uncorrected energy (eV/atom) = -4.751

abc: 4.6128 4.7837 4.6128
angles: 90.00 90.00 90.00
Each line ends with the local moment (μB).
Fractional coordinates of all 5 atoms:
1 Rh 0.5000 0.0000 0.0000  0.30
2 Co 0.0000 0.0000 0.0000  1.46
3 Tl 0.5000 0.5000 0.5000  -0.01
4 In 0.0000 0.5000 0.0000  -0.03
5 Rh 0.0000 0.0000 0.5000  0.63